A plane-wave DFT calculation with PBE was carried out for crystalline ScMn4Si2 at its relaxed geometry.

Computed properties:
M_tot ... 0.00 μB/cell
Crystal system ... tetragonal
Formation energy without anion corrections ... -43.9 kJ per mole of atoms

The structure in CIF format:
```
data_ScMn4Si2
_cell_length_a 6.731
_cell_length_b 6.731
_cell_length_c 3.938
_cell_angle_alpha 90.00
_cell_angle_beta 90.00
_cell_angle_gamma 90.00
_symmetry_space_group_name_H-M 'P 42/m n m'
_symmetry_Int_Tables_number 136
_symmetry_space_group_name_Hall '-P 4n 2n'
loop_
_atom_site_label
_atom_site_type_symbol
_atom_site_fract_x
_atom_site_fract_y
_atom_site_fract_z
Sc1 Sc 0.000 0.000 0.000
Mn1 Mn 0.102 0.358 0.500
Si1 Si 0.210 0.790 0.500
```